Entry 1:
Computed, not measured: a relaxed Pa2Ga5Au crystal at the PBE-GGA level of DFT.

a b c (Å): 6.0901 6.0901 6.0901
angles (deg): 119.45 119.45 90.95
Closest atoms and distances in Å follow each position.
Element x y z (fractional)
Pa: 0.0000 0.5000 0.5000  10 Ga 3.04-3.07, 2 Au 3.07
Pa: 0.5000 0.0000 0.5000  10 Ga 3.04-3.07, 2 Au 3.07
Ga: 0.9999 0.9999 0.0000  8 Ga 3.04-3.05, 4 Pa 3.07
Ga: 0.0002 0.0002 0.5004  2 Au 3.04-3.05, 6 Ga 3.04-3.07, 4 Pa 3.04-3.05
Ga: 0.0002 0.4998 0.0000  2 Au 3.04-3.05, 6 Ga 3.04-3.07, 4 Pa 3.04-3.05
Ga: 0.4998 0.0002 0.0000  2 Au 3.04-3.05, 6 Ga 3.04-3.07, 4 Pa 3.04-3.05
Ga: 0.4998 0.4998 0.4996  2 Au 3.04-3.05, 6 Ga 3.04-3.07, 4 Pa 3.04-3.05
Au: 0.5013 0.5013 0.0000  8 Ga 3.04-3.05, 4 Pa 3.07

Output
- total moment (Bohr magnetons per cell) = 0.00
- ΔH_f (0 K) (eV per atom) = -0.342
- space-group type = No. 107
- V (Å³ per atom) = 20.1
- crystal system = tetragonal

=====

Entry 2:
Computed, not measured: a relaxed Pa4GaAu3 crystal at the PBE-GGA level of DFT.

a b c (Å): 3.4030 4.5048 12.0099
angles (deg): 90.00 90.00 90.00
Closest atoms and distances in Å follow each position.
Element x y z (fractional)
Pa: 0.0000 0.0000 0.0000  5 Au 3.07-3.21, 2 Ga 3.26, 2 Pa 3.40
Pa: 0.0000 0.5000 0.3254  4 Ga 3.04, 3 Au 3.17-3.20, 2 Pa 3.40
Pa: 0.5000 0.0000 0.4931  6 Au 3.05-3.34, 1 Ga 3.15, 2 Pa 3.40
Pa: 0.5000 0.5000 0.8262  7 Au 3.04-3.32, 2 Pa 3.40
Ga: 0.5000 0.0000 0.2311  2 Au 2.75, 4 Pa 3.04
Au: 0.0000 0.0000 0.7325  2 Au 2.84, 4 Pa 3.04
Au: 0.0000 0.5000 0.5892  2 Au 2.84, 5 Pa 3.05-3.17
Au: 0.5000 0.5000 0.0996  2 Ga 2.75, 4 Pa 3.07

Output
- total moment (Bohr magnetons per cell) = 2.37
- ΔH_f (0 K) (eV per atom) = -0.215
- space-group type = No. 25
- V (Å³ per atom) = 23.0
- crystal system = orthorhombic

=====

Entry 3:
Computed, not measured: a relaxed Pa2Ga3Au5 crystal at the PBE-GGA level of DFT.

a b c (Å): 8.7247 8.7247 8.7247
angles (deg): 100.54 93.33 139.38
Closest atoms and distances in Å follow each position.
Element x y z (fractional)
Pa: 0.1333 0.2272 0.3606  8 Au 3.06-3.36, 4 Ga 3.24-3.41
Pa: 0.3667 0.7272 0.0939  8 Au 3.06-3.36, 4 Ga 3.24-3.41
Pa: 0.6333 0.2728 0.9061  8 Au 3.06-3.36, 4 Ga 3.24-3.41
Pa: 0.8667 0.7728 0.6394  8 Au 3.06-3.36, 4 Ga 3.24-3.41
Ga: 0.1347 0.8770 0.0117  5 Au 2.47-2.60
Ga: 0.2500 0.7500 0.5000  6 Au 2.62-2.80
Ga: 0.3653 0.3770 0.7423  5 Au 2.47-2.60
Ga: 0.6347 0.6230 0.2577  5 Au 2.47-2.60
Ga: 0.7500 0.2500 0.5000  6 Au 2.62-2.80
Ga: 0.8653 0.1230 0.9883  5 Au 2.47-2.60
Au: 0.0163 0.7500 0.2663  3 Ga 2.58-2.80, 2 Au 2.83
Au: 0.0994 0.6592 0.7586  3 Ga 2.47-2.62
Au: 0.2500 0.2500 0.0000  4 Ga 2.60
Au: 0.4006 0.1592 0.5599  3 Ga 2.47-2.62
Au: 0.4837 0.7500 0.7337  3 Ga 2.58-2.80, 2 Au 2.83
Au: 0.5163 0.2500 0.2663  3 Ga 2.58-2.80, 2 Au 2.83
Au: 0.5994 0.8408 0.4401  3 Ga 2.47-2.62
Au: 0.7500 0.7500 0.0000  4 Ga 2.60
Au: 0.9006 0.3408 0.2414  3 Ga 2.47-2.62
Au: 0.9837 0.2500 0.7337  3 Ga 2.58-2.80, 2 Au 2.83

Output
- total moment (Bohr magnetons per cell) = 1.37
- ΔH_f (0 K) (eV per atom) = -0.307
- space-group type = No. 72
- V (Å³ per atom) = 20.2
- crystal system = orthorhombic

=====

Entry 4:
Computed, not measured: a relaxed Pa3Ga4Au4 crystal at the PBE-GGA level of DFT.

a b c (Å): 14.5234 14.5234 14.5234
angles (deg): 166.61 161.65 22.78
Closest atoms and distances in Å follow each position.
Element x y z (fractional)
Pa: 0.0000 0.0000 0.0000  8 Ga 3.15, 4 Au 3.16, 2 Pa 3.39
Pa: 0.3609 0.8609 0.5000  6 Au 3.15, 6 Ga 3.15-3.19, 2 Pa 3.39
Pa: 0.6391 0.1391 0.5000  6 Au 3.15, 6 Ga 3.15-3.19, 2 Pa 3.39
Ga: 0.1881 0.6881 0.5000  5 Au 2.64-2.83
Ga: 0.4544 0.4544 0.0000  1 Ga 2.60, 2 Au 2.69
Ga: 0.5456 0.5456 0.0000  1 Ga 2.60, 2 Au 2.69
Ga: 0.8119 0.3119 0.5000  5 Au 2.64-2.83
Au: 0.0936 0.5936 0.5000  3 Ga 2.69
Au: 0.2677 0.2677 0.0000  4 Ga 2.64-2.83
Au: 0.7323 0.7323 0.0000  4 Ga 2.64-2.83
Au: 0.9064 0.4064 0.5000  3 Ga 2.69

Output
- total moment (Bohr magnetons per cell) = 0.77
- ΔH_f (0 K) (eV per atom) = -0.363
- space-group type = No. 71
- V (Å³ per atom) = 20.3
- crystal system = orthorhombic

=====

Entry 5:
Computed, not measured: a relaxed Pa2GaAu3 crystal at the PBE-GGA level of DFT.

a b c (Å): 3.2384 4.7371 8.2058
angles (deg): 90.00 90.00 90.00
Closest atoms and distances in Å follow each position.
Element x y z (fractional)
Pa: 0.0000 0.0000 0.0000  8 Au 3.13-3.18, 4 Ga 3.20, 2 Pa 3.24
Pa: 0.0000 0.5000 0.4947  10 Au 3.16-3.24, 2 Ga 3.17, 2 Pa 3.24
Ga: 0.5000 0.5000 0.8275  3 Au 2.67-2.69
Au: 0.5000 0.0000 0.3336  3 Au 2.79
Au: 0.5000 0.0000 0.6733  2 Ga 2.69, 1 Au 2.79
Au: 0.5000 0.5000 0.1531  1 Ga 2.67, 2 Au 2.79

Output
- total moment (Bohr magnetons per cell) = 1.50
- ΔH_f (0 K) (eV per atom) = -0.468
- space-group type = No. 25
- relative energy among the computed polymorphs (meV per atom) = 0
- V (Å³ per atom) = 21.0
- crystal system = orthorhombic

=====

Entry 6:
Computed, not measured: a relaxed Pa2Ga8Au crystal at the PBE-GGA level of DFT.

a b c (Å): 4.3814 4.3814 11.3136
angles (deg): 90.00 90.00 90.00
Closest atoms and distances in Å follow each position.
Element x y z (fractional)
Pa: 0.0000 0.0000 0.1848  12 Ga 3.00-3.10
Pa: 0.0000 0.0000 0.8152  12 Ga 3.00-3.10
Ga: 0.0000 0.5000 0.0000  8 Ga 3.01-3.10, 4 Pa 3.03
Ga: 0.0000 0.5000 0.3663  2 Au 2.66
Ga: 0.0000 0.5000 0.6337  2 Au 2.66
Ga: 0.5000 0.0000 0.0000  8 Ga 3.01-3.10, 4 Pa 3.03
Ga: 0.5000 0.0000 0.3663  2 Au 2.66
Ga: 0.5000 0.0000 0.6337  2 Au 2.66
Ga: 0.5000 0.5000 0.1830  8 Ga 3.01-3.02, 4 Pa 3.10
Ga: 0.5000 0.5000 0.8170  8 Ga 3.01-3.02, 4 Pa 3.10
Au: 0.0000 0.0000 0.5000  8 Ga 2.66

Output
- total moment (Bohr magnetons per cell) = 0.00
- ΔH_f (0 K) (eV per atom) = -0.338
- space-group type = No. 123
- V (Å³ per atom) = 19.7
- crystal system = tetragonal

=====

Entry 7:
Computed, not measured: a relaxed Pa2GaAu crystal at the PBE-GGA level of DFT.

a b c (Å): 5.0880 5.0880 5.0880
angles (deg): 60.00 60.00 60.00
Closest atoms and distances in Å follow each position.
Element x y z (fractional)
Pa: 0.2500 0.2500 0.2500  4 Au 3.12, 4 Ga 3.12
Pa: 0.7500 0.7500 0.7500  4 Ga 3.12, 4 Au 3.12
Ga: 0.0000 0.0000 0.0000  8 Pa 3.12
Au: 0.5000 0.5000 0.5000  8 Pa 3.12

Output
- total moment (Bohr magnetons per cell) = 2.77
- ΔH_f (0 K) (eV per atom) = -0.062
- space-group type = No. 225
- relative energy among the computed polymorphs (meV per atom) = 220
- V (Å³ per atom) = 23.3
- crystal system = cubic

=====

Entry 8:
Computed, not measured: a relaxed Pa2Ga4Pt3Au crystal at the PBE-GGA level of DFT.

a b c (Å): 4.2253 4.2253 10.5860
angles (deg): 90.00 90.00 90.00
Closest atoms and distances in Å follow each position.
Element x y z (fractional)
Pa: 0.0000 0.5000 0.2447  6 Pt 3.20-3.43, 8 Ga 3.25-3.34, 2 Au 3.43
Pa: 0.5000 0.0000 0.7553  6 Pt 3.20-3.43, 8 Ga 3.25-3.34, 2 Au 3.43
Ga: 0.0000 0.0000 0.0000  4 Pt 2.56
Ga: 0.0000 0.5000 0.6351  3 Pt 2.43-2.55, 2 Au 2.55
Ga: 0.5000 0.0000 0.3649  3 Pt 2.43-2.55, 2 Au 2.55
Ga: 0.5000 0.5000 0.0000  4 Pt 2.56
Pt: 0.0000 0.5000 0.8643  5 Ga 2.43-2.56
Pt: 0.5000 0.0000 0.1357  5 Ga 2.43-2.56
Pt: 0.5000 0.5000 0.5000  4 Ga 2.55
Au: 0.0000 0.0000 0.5000  4 Ga 2.55

Output
- total moment (Bohr magnetons per cell) = 0.00
- ΔH_f (0 K) (eV per atom) = -0.678
- space-group type = No. 115
- V (Å³ per atom) = 18.9
- crystal system = tetragonal

=====

- Which value of V does entry 3 give?
  20.2 Å³ per atom

=====

- Number 4 is which compound?
  Pa3Ga4Au4

=====

- The highest total moment belongs to which entry?
  Pa2GaAu